This record from Alexandria describes Rb2AgH6Pd after structural relaxation. The functional is PBE.

Results
Spin magnetization ... 0.0 μB per formula unit
Density ... 3.9 g/cm³
Electronic total energy ... -3.096 eV/atom

a = 6.0147 Å, b = 6.0147 Å, c = 5.3159 Å
α = 90.00°, β = 90.00°, γ = 120.00°
Space group P-3m1 (No. 164)
Symmetry-distinct sites (fractional):
Rb1 0.3333 0.6667 0.2378
Ag1 0.0000 0.0000 0.5000
H1 0.1310 0.2620 0.7959
Pd1 0.0000 0.0000 0.0000